Entry 1:
## La6AgBr8 (PBE-GGA)

Data for a relaxed structure of La6AgBr8.

The uncorrected formation energy comes out at -21.62 eV per formula unit. The calculation puts the density of states at the Fermi level at 28.1 states/eV/cell.

The structure belongs to space group R-3 (No. 148, hexagonal axes); the cell edges are 7.3991, 7.3991 and 32.9437 Å and the angles 90.00°, 90.00° and 120.00°. The inequivalent atoms are La at (0.0000, 0.3353, 0.4455), Ag at (0.0000, 0.0000, 0.5000), Br at (0.0000, 0.0000, 0.1667) and Br at (0.0000, 0.3281, 0.6105).



Entry 2:
## LaAgBr2 (PBE-GGA)

Data for a relaxed structure of LaAgBr2.

The uncorrected formation energy comes out at -3.51 eV per formula unit. The calculation puts the density of states at the Fermi level at 10.2 states/eV/cell.

The structure belongs to space group R-3m (No. 166, hexagonal axes); the cell edges are 3.8931, 3.8931 and 30.8537 Å and the angles 90.00°, 90.00° and 120.00°. The inequivalent atoms are La at (0.0000, 0.0000, 0.0000), Ag at (0.0000, 0.0000, 0.5000) and Br at (0.0000, 0.0000, 0.2679).